# H13PtC3N3Cl2O

Crystalline H13PtC3N3Cl2O at its relaxed geometry (PBE, the Alexandria database).

Cell lengths 6.391, 7.364, 11.674 Å; angles 104.55, 95.40, 101.23 degrees
Atoms (fractional coordinates):
N (0.263, 0.680, 0.392)
H (0.657, 0.751, 0.066)
C (0.733, 0.730, 0.985)
N (0.965, 0.762, 0.016)
C (0.059, 0.816, 0.131)
H (0.842, 0.251, 0.562)
N (0.035, 0.238, 0.984)
C (0.092, 0.729, 0.919)
N (0.737, 0.320, 0.608)
O (0.257, 0.839, 0.166)
Cl (0.318, 0.393, 0.696)
C (0.908, 0.271, 0.081)
C (0.941, 0.184, 0.869)
H (0.270, 0.720, 0.313)
O (0.743, 0.161, 0.834)
H (0.306, 0.170, 0.065)
H (0.674, 0.106, 0.367)
H (0.730, 0.280, 0.687)
H (0.061, 0.574, 0.872)
Pt (0.433, 0.268, 0.514)
H (0.592, 0.282, 0.322)
H (0.195, 0.535, 0.372)
H (0.334, 0.418, 0.072)
H (0.939, 0.426, 0.128)
Cl (0.909, 0.787, 0.596)
H (0.426, 0.062, 0.293)
Cl (0.091, 0.213, 0.404)
H (0.574, 0.938, 0.707)
H (0.737, 0.219, 0.044)
H (0.805, 0.465, 0.628)
H (0.263, 0.781, 0.956)
C (0.267, 0.270, 0.015)
Cl (0.682, 0.607, 0.304)
H (0.056, 0.164, 0.804)
Pt (0.567, 0.732, 0.486)
N (0.457, 0.834, 0.645)
H (0.666, 0.582, 0.928)
H (0.694, 0.830, 0.935)
H (0.953, 0.197, 0.147)
H (0.343, 0.249, 0.934)
H (0.408, 0.718, 0.678)
H (0.047, 0.803, 0.853)
N (0.543, 0.166, 0.355)
H (0.326, 0.894, 0.633)
H (0.158, 0.749, 0.438)
H (0.944, 0.836, 0.196)

## Properties
**Total moment**: 0.0 μB/f.u.
**E**: -5.236 eV per atom